First-principles (PBE) data for crystalline MgBiPd at its relaxed geometry, as listed in the Alexandria database.

Cell lengths 4.6770, 4.6770, 3.4479 Å; angles 90.00, 90.00, 120.00 degrees
Space group P3m1 (No. 156)
One atom of each set of equivalent atoms:
Mg (0.0000, 0.0000, 0.0000) (multiplicity 1)
Bi (0.3333, 0.6667, 0.5067) (multiplicity 1)
Pd (0.6667, 0.3333, 0.0556) (multiplicity 1)

Properties
theoretical density	8.64	g cm⁻³
Fermi-level density of states	1.3	states/eV per cell
ΔE_f	-248	meV/atom



First-principles (PBE) data for crystalline NaSi3Ge at its relaxed geometry, as listed in the Alexandria database.

Cell lengths 4.910, 4.910, 4.910 Å; angles 90.00, 90.00, 90.00 degrees
Space group Pm-3m (No. 221)
One atom of each set of equivalent atoms:
Na (0.000, 0.000, 0.000) (multiplicity 1)
Si (0.000, 0.000, 0.500) (multiplicity 3)
Ge (0.500, 0.500, 0.500) (multiplicity 1)

Properties
formation energy without anion corrections	1.53	eV/atom
theoretical density	2.52	g cm⁻³
Fermi-level density of states	2.7	states/eV per cell



First-principles (PBE) data for crystalline Pr2YHoTm2 at its relaxed geometry, as listed in the Alexandria database.

Cell lengths 5.655, 9.806, 7.042 Å; angles 90.00, 90.00, 90.00 degrees
Space group Pmc2_1 (No. 26)
One atom of each set of equivalent atoms:
Pr (0.000, 0.000, 0.000) (multiplicity 2)
Pr (0.500, 0.176, 0.250) (multiplicity 2)
Y (0.500, 0.500, 0.499) (multiplicity 2)
Ho (0.000, 0.340, 0.749) (multiplicity 2)
Tm (0.000, 0.334, 0.249) (multiplicity 2)
Tm (0.500, 0.165, 0.750) (multiplicity 2)

Properties
theoretical density	7.43	g cm⁻³
Fermi-level density of states	18.8	states/eV per cell
ΔE_f	68	meV/atom



First-principles (PBE) data for crystalline KTi2Co at its relaxed geometry, as listed in the Alexandria database.

Cell lengths 6.124, 6.124, 12.918 Å; angles 90.00, 90.00, 90.00 degrees
Space group I4_1/amd (No. 141, origin choice 2)
One atom of each set of equivalent atoms:
K (0.000, 0.250, 0.375) (multiplicity 4)
Ti (0.000, 0.000, 0.000) (multiplicity 8)
Co (0.000, 0.250, 0.875) (multiplicity 4)

Properties
theoretical density	2.66	g cm⁻³
Fermi-level density of states	20.9	states/eV per cell
ΔE_f	1050	meV/atom



First-principles (PBE) data for crystalline CaEr2 at its relaxed geometry, as listed in the Alexandria database.

Cell lengths 9.453, 9.453, 9.453 Å; angles 90.00, 90.00, 90.00 degrees
Space group Fd-3m (No. 227, origin choice 2)
One atom of each set of equivalent atoms:
Ca (0.125, 0.125, 0.125) (multiplicity 8)
Er (0.000, 0.000, 0.500) (multiplicity 16)

Properties
theoretical density	5.89	g cm⁻³
Fermi-level density of states	37.8	states/eV per cell
ΔE_f	185	meV/atom



First-principles (PBE) data for crystalline LiGdDyMo at its relaxed geometry, as listed in the Alexandria database.

Cell lengths 7.076, 7.076, 7.076 Å; angles 90.00, 90.00, 90.00 degrees
Space group F-43m (No. 216)
One atom of each set of equivalent atoms:
Li (0.000, 0.000, 0.000) (multiplicity 4)
Gd (0.250, 0.250, 0.750) (multiplicity 4)
Dy (0.250, 0.250, 0.250) (multiplicity 4)
Mo (0.000, 0.000, 0.500) (multiplicity 4)

Properties
theoretical density	7.92	g cm⁻³
Fermi-level density of states	20.6	states/eV per cell
ΔE_f	264	meV/atom



First-principles (PBE) data for crystalline SiB2O at its relaxed geometry, as listed in the Alexandria database.

Cell lengths 5.260, 5.260, 5.260 Å; angles 90.00, 90.00, 90.00 degrees
Space group Fm-3m (No. 225)
One atom of each set of equivalent atoms:
Si (0.000, 0.000, 0.000) (multiplicity 4)
B (0.250, 0.250, 0.250) (multiplicity 8)
O (0.000, 0.000, 0.500) (multiplicity 4)

Properties
formation energy without anion corrections	1.50	eV/atom
theoretical density	3.00	g cm⁻³
Fermi-level density of states	6.0	states/eV per cell



First-principles (PBE) data for crystalline SrAc2Cd9 at its relaxed geometry, as listed in the Alexandria database.

Cell lengths 6.2478, 6.2478, 29.3178 Å; angles 90.00, 90.00, 120.00 degrees
Space group R-3m (No. 166, hexagonal axes)
One atom of each set of equivalent atoms:
Sr (0.0000, 0.0000, 0.0000) (multiplicity 3)
Ac (0.0000, 0.0000, 0.1416) (multiplicity 6)
Cd (0.0000, 0.0000, 0.3351) (multiplicity 6)
Cd (0.0000, 0.0000, 0.5000) (multiplicity 3)
Cd (0.0061, 0.5031, 0.9172) (multiplicity 18)

Properties
theoretical density	7.81	g cm⁻³
Fermi-level density of states	27.0	states/eV per cell
ΔE_f	-254	meV/atom